Entry 1:
DFT (GGA-PBE) results for an optimized crystal structure of Ca3PbW.

POSCAR file:
```
Ca3PbW
1.0
-1.064 5.682 -1.273
-5.083 -1.538 -2.614
-2.840 0.623 5.155
Pb Ca W
1 3 1
direct
0.000 0.000 0.000
0.000 0.500 0.000
0.000 0.000 0.500
0.500 0.000 0.000
0.500 0.500 0.500
```

Calculated volume = 41.47 Å³ per atom
Formation energy from the elements = 1093 meV/atom
Crystal system = cubic

=====

Entry 2:
DFT (GGA-PBE) results for an optimized crystal structure of CaPb2W.

POSCAR file:
```
CaPb2W
1.0
-2.581 -4.557 1.305
2.473 -0.860 1.887
-1.113 2.185 5.431
Pb Ca W
2 1 1
direct
0.000 0.039 0.999
0.500 0.427 0.276
0.500 0.686 0.739
0.000 0.348 0.487
```

Calculated volume = 24.82 Å³ per atom
Formation energy from the elements = 607 meV/atom
Crystal system = monoclinic

=====

Entry 3:
DFT (GGA-PBE) results for an optimized crystal structure of CaPb2W.

POSCAR file:
```
CaPb2W
1.0
5.535 -0.028 0.000
-1.572 5.307 0.000
0.000 0.000 3.257
Pb Ca W
2 1 1
direct
0.000 0.000 0.000
0.500 0.500 0.000
0.000 0.500 0.500
0.500 0.000 0.500
```

Calculated volume = 23.88 Å³ per atom
Formation energy from the elements = 689 meV/atom
Crystal system = orthorhombic

=====

Entry 4:
DFT (GGA-PBE) results for an optimized crystal structure of Ca4PbW.

POSCAR file:
```
Ca4PbW
1.0
-1.838 -0.946 6.041
-5.032 -3.723 1.261
0.855 -5.702 2.742
Ca Pb W
4 1 1
direct
0.877 0.374 0.374
0.374 0.374 0.877
0.374 0.877 0.374
0.374 0.374 0.374
0.750 0.750 0.750
0.000 0.000 0.000
```

Calculated volume = 30.67 Å³ per atom
Formation energy from the elements = 944 meV/atom
Crystal system = cubic

=====

Entry 5:
DFT (GGA-PBE) results for an optimized crystal structure of CaPb2W.

POSCAR file:
```
CaPb2W
1.0
0.000 3.627 3.627
3.627 0.000 3.627
3.627 3.627 0.000
Pb Ca W
2 1 1
direct
0.250 0.250 0.250
0.750 0.750 0.750
0.000 0.000 0.000
0.500 0.500 0.500
```

Calculated volume = 23.86 Å³ per atom
Formation energy from the elements = 578 meV/atom
Crystal system = cubic

=====

Entry 6:
DFT (GGA-PBE) results for an optimized crystal structure of CaPb2W.

POSCAR file:
```
CaPb2W
1.0
3.993 0.000 0.000
0.000 4.886 0.000
0.000 0.000 4.886
Pb Ca W
2 1 1
direct
0.000 0.000 0.000
0.000 0.500 0.500
0.500 0.000 0.500
0.500 0.500 0.000
```

Calculated volume = 23.83 Å³ per atom
Formation energy from the elements = 690 meV/atom
Crystal system = tetragonal

=====

Entry 7:
DFT (GGA-PBE) results for an optimized crystal structure of CaPb2W.

POSCAR file:
```
CaPb2W
1.0
5.142 0.004 -0.005
4.113 3.086 -0.005
1.061 0.354 6.183
Pb Ca W
2 1 1
direct
0.011 0.011 0.969
0.489 0.489 0.531
0.250 0.250 0.250
0.750 0.750 0.750
```

Calculated volume = 24.51 Å³ per atom
Formation energy from the elements = 512 meV/atom
Crystal system = monoclinic

=====

Entry 8:
DFT (GGA-PBE) results for an optimized crystal structure of CaPb2W.

POSCAR file:
```
CaPb2W
1.0
5.320 0.000 0.000
2.660 4.607 0.000
2.660 1.536 4.344
Pb Ca W
2 1 1
direct
0.000 0.000 0.000
0.250 0.250 0.250
0.500 0.500 0.500
0.750 0.750 0.750
```

Calculated volume = 26.61 Å³ per atom
Formation energy from the elements = 864 meV/atom
Crystal system = cubic

=====

no.,calculated total energy (eV per atom)
1,-3.440
2,-4.986
3,-4.903
4,-3.167
5,-5.015
6,-4.903
7,-5.081
8,-4.729